1.
The following is a PBE-GGA calculation of a relaxed Tb3Pm2Ho9 crystal, from the Alexandria database.

**Space-group type**: No. 2

Structure (CIF):
```
data_Tb3Pm2Ho9
_chemical_formula_sum 'Tb3 Pm2 Ho9'
_cell_length_a 6.2014
_cell_length_b 8.7222
_cell_length_c 8.7385
_cell_angle_alpha 78.89
_cell_angle_beta 86.51
_cell_angle_gamma 77.76
_symmetry_space_group_name_H-M 'P 1'
_symmetry_Int_Tables_number 1
loop_
_symmetry_equiv_pos_as_xyz
'x,y,z'
loop_
_atom_site_label
_atom_site_type_symbol
_atom_site_fract_x
_atom_site_fract_y
_atom_site_fract_z
Tb1 Tb 0.0000 0.0000 0.0000
Tb2 Tb 0.2581 0.2733 0.3824
Tb3 Tb 0.7419 0.7267 0.6176
Pm1 Pm 0.4562 0.7041 0.9706
Pm2 Pm 0.5438 0.2959 0.0294
Ho1 Ho 0.0000 0.5000 0.0000
Ho2 Ho 0.0907 0.6927 0.3158
Ho3 Ho 0.1844 0.8951 0.6198
Ho4 Ho 0.3478 0.4918 0.6662
Ho5 Ho 0.4895 0.9171 0.2529
Ho6 Ho 0.5105 0.0829 0.7471
Ho7 Ho 0.6522 0.5082 0.3338
Ho8 Ho 0.8156 0.1049 0.3802
Ho9 Ho 0.9093 0.3073 0.6842
```

2.
The following is a PBE-GGA calculation of a relaxed Tb2Pm3Ho6 crystal, from the Alexandria database.

**Distance to the lowest polymorph of the same formula**: 0.00 kcal/mol of atoms
**Space-group type**: No. 12

Structure (CIF):
```
data_Tb2Pm3Ho6
_chemical_formula_sum 'Tb2 Pm3 Ho6'
_cell_length_a 6.1574
_cell_length_b 6.1574
_cell_length_c 11.5917
_cell_angle_alpha 95.17
_cell_angle_beta 95.17
_cell_angle_gamma 120.13
_symmetry_space_group_name_H-M 'P 1'
_symmetry_Int_Tables_number 1
loop_
_symmetry_equiv_pos_as_xyz
'x,y,z'
loop_
_atom_site_label
_atom_site_type_symbol
_atom_site_fract_x
_atom_site_fract_y
_atom_site_fract_z
Tb1 Tb 0.1661 0.8339 0.0000
Tb2 Tb 0.8339 0.1661 0.0000
Pm1 Pm 0.0000 0.0000 0.5000
Pm2 Pm 0.3356 0.6644 0.5000
Pm3 Pm 0.6644 0.3356 0.5000
Ho1 Ho 0.0849 0.4181 0.7532
Ho2 Ho 0.2488 0.2488 0.2473
Ho3 Ho 0.4181 0.0849 0.7532
Ho4 Ho 0.5819 0.9151 0.2468
Ho5 Ho 0.7512 0.7512 0.7527
Ho6 Ho 0.9151 0.5819 0.2468
```

3.
The following is a PBE-GGA calculation of a relaxed Tb2PmHo crystal, from the Alexandria database.

**Distance to the lowest polymorph of the same formula**: 3.03 kcal/mol of atoms
**Space-group type**: No. 225

Structure (CIF):
```
data_Tb2PmHo
_chemical_formula_sum 'Tb2 Pm1 Ho1'
_cell_length_a 5.6957
_cell_length_b 5.6957
_cell_length_c 5.6957
_cell_angle_alpha 60.00
_cell_angle_beta 60.00
_cell_angle_gamma 60.00
_symmetry_space_group_name_H-M 'P 1'
_symmetry_Int_Tables_number 1
loop_
_symmetry_equiv_pos_as_xyz
'x,y,z'
loop_
_atom_site_label
_atom_site_type_symbol
_atom_site_fract_x
_atom_site_fract_y
_atom_site_fract_z
Tb1 Tb 0.2500 0.2500 0.2500
Tb2 Tb 0.7500 0.7500 0.7500
Pm1 Pm 0.0000 0.0000 0.0000
Ho1 Ho 0.5000 0.5000 0.5000
```

4.
The following is a PBE-GGA calculation of a relaxed TbPm5Ho4 crystal, from the Alexandria database.

**Distance to the lowest polymorph of the same formula**: 3.87 kcal/mol of atoms
**Space-group type**: No. 59

Structure (CIF):
```
data_TbPm5Ho4
_chemical_formula_sum 'Tb2 Pm10 Ho8'
_cell_length_a 10.6191
_cell_length_b 10.6319
_cell_length_c 5.8170
_cell_angle_alpha 90.00
_cell_angle_beta 90.00
_cell_angle_gamma 90.00
_symmetry_space_group_name_H-M 'P 1'
_symmetry_Int_Tables_number 1
loop_
_symmetry_equiv_pos_as_xyz
'x,y,z'
loop_
_atom_site_label
_atom_site_type_symbol
_atom_site_fract_x
_atom_site_fract_y
_atom_site_fract_z
Tb1 Tb 0.2500 0.2500 0.1481
Tb2 Tb 0.7500 0.7500 0.8519
Pm1 Pm 0.0892 0.0893 0.6596
Pm2 Pm 0.0892 0.4107 0.6596
Pm3 Pm 0.2500 0.7500 0.4993
Pm4 Pm 0.4108 0.0893 0.6596
Pm5 Pm 0.4108 0.4107 0.6596
Pm6 Pm 0.5892 0.5893 0.3404
Pm7 Pm 0.5892 0.9107 0.3404
Pm8 Pm 0.7500 0.2500 0.5007
Pm9 Pm 0.9108 0.5893 0.3404
Pm10 Pm 0.9108 0.9107 0.3404
Ho1 Ho 0.0477 0.7500 0.8700
Ho2 Ho 0.2500 0.5471 0.1302
Ho3 Ho 0.2500 0.9529 0.1302
Ho4 Ho 0.4523 0.7500 0.8700
Ho5 Ho 0.5477 0.2500 0.1300
Ho6 Ho 0.7500 0.0471 0.8698
Ho7 Ho 0.7500 0.4529 0.8698
Ho8 Ho 0.9523 0.2500 0.1300
```

5.
The following is a PBE-GGA calculation of a relaxed Tb3PmHo4 crystal, from the Alexandria database.

**Space-group type**: No. 12

Structure (CIF):
```
data_Tb3PmHo4
_chemical_formula_sum 'Tb3 Pm1 Ho4'
_cell_length_a 11.8369
_cell_length_b 11.8369
_cell_length_c 6.6820
_cell_angle_alpha 106.32
_cell_angle_beta 106.32
_cell_angle_gamma 16.84
_symmetry_space_group_name_H-M 'P 1'
_symmetry_Int_Tables_number 1
loop_
_symmetry_equiv_pos_as_xyz
'x,y,z'
loop_
_atom_site_label
_atom_site_type_symbol
_atom_site_fract_x
_atom_site_fract_y
_atom_site_fract_z
Tb1 Tb 0.0000 0.0000 0.0000
Tb2 Tb 0.1260 0.1260 0.8713
Tb3 Tb 0.8740 0.8740 0.1287
Pm1 Pm 0.5000 0.5000 0.5000
Ho1 Ho 0.1258 0.1258 0.3822
Ho2 Ho 0.2601 0.2601 0.2623
Ho3 Ho 0.7399 0.7399 0.7377
Ho4 Ho 0.8742 0.8742 0.6178
```

6.
The following is a PBE-GGA calculation of a relaxed TbPm5Ho4 crystal, from the Alexandria database.

**Distance to the lowest polymorph of the same formula**: 0.00 kcal/mol of atoms
**Space-group type**: No. 12

Structure (CIF):
```
data_TbPm5Ho4
_chemical_formula_sum 'Tb1 Pm5 Ho4'
_cell_length_a 8.7312
_cell_length_b 8.7312
_cell_length_c 11.4704
_cell_angle_alpha 108.52
_cell_angle_beta 108.52
_cell_angle_gamma 23.48
_symmetry_space_group_name_H-M 'P 1'
_symmetry_Int_Tables_number 1
loop_
_symmetry_equiv_pos_as_xyz
'x,y,z'
loop_
_atom_site_label
_atom_site_type_symbol
_atom_site_fract_x
_atom_site_fract_y
_atom_site_fract_z
Tb1 Tb 0.0000 0.0000 0.0000
Pm1 Pm 0.0000 0.0000 0.5000
Pm2 Pm 0.2895 0.2895 0.3844
Pm3 Pm 0.3113 0.3113 0.9228
Pm4 Pm 0.6887 0.6887 0.0772
Pm5 Pm 0.7105 0.7105 0.6156
Ho1 Ho 0.1045 0.1045 0.7969
Ho2 Ho 0.4170 0.4170 0.7093
Ho3 Ho 0.5830 0.5830 0.2907
Ho4 Ho 0.8955 0.8955 0.2031
```

7.
The following is a PBE-GGA calculation of a relaxed TbPm8Ho2 crystal, from the Alexandria database.

**Distance to the lowest polymorph of the same formula**: 0.00 kcal/mol of atoms
**Space-group type**: No. 12

Structure (CIF):
```
data_TbPm8Ho2
_chemical_formula_sum 'Tb1 Pm8 Ho2'
_cell_length_a 9.0572
_cell_length_b 9.0572
_cell_length_c 6.7016
_cell_angle_alpha 99.42
_cell_angle_beta 99.42
_cell_angle_gamma 43.89
_symmetry_space_group_name_H-M 'P 1'
_symmetry_Int_Tables_number 1
loop_
_symmetry_equiv_pos_as_xyz
'x,y,z'
loop_
_atom_site_label
_atom_site_type_symbol
_atom_site_fract_x
_atom_site_fract_y
_atom_site_fract_z
Tb1 Tb 0.0000 0.0000 0.0000
Pm1 Pm 0.1743 0.6506 0.5943
Pm2 Pm 0.2445 0.2445 0.3185
Pm3 Pm 0.3494 0.8257 0.4057
Pm4 Pm 0.4070 0.4070 0.0878
Pm5 Pm 0.5930 0.5930 0.9122
Pm6 Pm 0.6506 0.1743 0.5943
Pm7 Pm 0.7555 0.7555 0.6815
Pm8 Pm 0.8257 0.3494 0.4057
Ho1 Ho 0.1985 0.1985 0.8064
Ho2 Ho 0.8015 0.8015 0.1936
```

8.
The following is a PBE-GGA calculation of a relaxed Tb5Pm2Ho12 crystal, from the Alexandria database.

**Distance to the lowest polymorph of the same formula**: 2.58 kcal/mol of atoms
**Space-group type**: No. 12

Structure (CIF):
```
data_Tb5Pm2Ho12
_chemical_formula_sum 'Tb5 Pm2 Ho12'
_cell_length_a 9.0976
_cell_length_b 9.0976
_cell_length_c 8.5186
_cell_angle_alpha 91.23
_cell_angle_beta 91.23
_cell_angle_gamma 60.87
_symmetry_space_group_name_H-M 'P 1'
_symmetry_Int_Tables_number 1
loop_
_symmetry_equiv_pos_as_xyz
'x,y,z'
loop_
_atom_site_label
_atom_site_type_symbol
_atom_site_fract_x
_atom_site_fract_y
_atom_site_fract_z
Tb1 Tb 0.0000 0.0000 0.0000
Tb2 Tb 0.2315 0.2315 0.0748
Tb3 Tb 0.3007 0.3007 0.4887
Tb4 Tb 0.6993 0.6993 0.5113
Tb5 Tb 0.7685 0.7685 0.9252
Pm1 Pm 0.3187 0.6813 0.5000
Pm2 Pm 0.6813 0.3187 0.5000
Ho1 Ho 0.0259 0.6655 0.2562
Ho2 Ho 0.0896 0.0896 0.3818
Ho3 Ho 0.1816 0.5640 0.8433
Ho4 Ho 0.3345 0.9741 0.7438
Ho5 Ho 0.4360 0.8184 0.1567
Ho6 Ho 0.4426 0.4426 0.1684
Ho7 Ho 0.5574 0.5574 0.8316
Ho8 Ho 0.5640 0.1816 0.8433
Ho9 Ho 0.6655 0.0259 0.2562
Ho10 Ho 0.8184 0.4360 0.1567
Ho11 Ho 0.9104 0.9104 0.6182
Ho12 Ho 0.9741 0.3345 0.7438
```

9.
The following is a PBE-GGA calculation of a relaxed Tb4Pm3Ho8 crystal, from the Alexandria database.

**Space-group type**: No. 12

Structure (CIF):
```
data_Tb4Pm3Ho8
_chemical_formula_sum 'Tb4 Pm3 Ho8'
_cell_length_a 9.2522
_cell_length_b 9.2522
_cell_length_c 6.7377
_cell_angle_alpha 111.33
_cell_angle_beta 111.33
_cell_angle_gamma 87.47
_symmetry_space_group_name_H-M 'P 1'
_symmetry_Int_Tables_number 1
loop_
_symmetry_equiv_pos_as_xyz
'x,y,z'
loop_
_atom_site_label
_atom_site_type_symbol
_atom_site_fract_x
_atom_site_fract_y
_atom_site_fract_z
Tb1 Tb 0.0000 0.0000 0.0000
Tb2 Tb 0.0000 0.0000 0.5000
Tb3 Tb 0.0000 0.5000 0.0000
Tb4 Tb 0.5000 0.0000 0.0000
Pm1 Pm 0.0000 0.5000 0.5000
Pm2 Pm 0.5000 0.0000 0.5000
Pm3 Pm 0.5000 0.5000 0.5000
Ho1 Ho 0.2538 0.7462 0.5000
Ho2 Ho 0.2639 0.2639 0.0081
Ho3 Ho 0.2678 0.2678 0.5336
Ho4 Ho 0.3593 0.6407 0.0000
Ho5 Ho 0.6407 0.3593 0.0000
Ho6 Ho 0.7322 0.7322 0.4664
Ho7 Ho 0.7361 0.7361 0.9919
Ho8 Ho 0.7462 0.2538 0.5000
```

Number 1: M_tot 0.0 μB per formula unit, E_tot -4.496 eV per atom, formation energy from the elements 1.65 eV/f.u.. Number 2: M_tot 0.0 μB per formula unit, E_tot -4.435 eV per atom, formation energy from the elements 2.19 eV/f.u.. Number 3: M_tot 0.0 μB per formula unit, E_tot -4.502 eV per atom, formation energy from the elements 0.58 eV/f.u.. Number 4: M_tot 0.0 μB per formula unit, E_tot -4.466 eV per atom, formation energy from the elements 2.03 eV/f.u.. Number 5: M_tot 0.0 μB per formula unit, E_tot -4.447 eV per atom, formation energy from the elements 1.37 eV/f.u.. Number 6: M_tot 0.0 μB per formula unit, E_tot -4.634 eV per atom, formation energy from the elements 0.36 eV/f.u.. Number 7: M_tot 0.0 μB per formula unit, E_tot -4.540 eV per atom, formation energy from the elements 1.85 eV/f.u.. Number 8: M_tot 0.0 μB per formula unit, E_tot -4.479 eV per atom, formation energy from the elements 2.49 eV/f.u.. Number 9: M_tot 0.0 μB per formula unit, E_tot -4.238 eV per atom, formation energy from the elements 5.83 eV/f.u..